(1)
{
  "formula": "Li2Mn3CuO8",
  "functional": "meta-GGA SCAN",
  "state": "PBEsol geometry",
  "e_tot_ev_per_cell": -612.2,
  "sg": "P2_13, No. 198",
  "crystal_system": "cubic",
  "formation_energy_uncorrected_mev_per_atom": -2032,
  "lattice_angstrom": [[8.1034, 0.0000, 0.0000], [0.0000, 8.1034, 0.0000], [0.0000, 0.0000, 8.1034]],
  "species": ["Li", "Li", "Li", "Li", "Li", "Li", "Li", "Li", "Mn", "Mn", "Mn", "Mn", "Mn", "Mn", "Mn", "Mn", "Mn", "Mn", "Mn", "Mn", "Cu", "Cu", "Cu", "Cu", "O", "O", "O", "O", "O", "O", "O", "O", "O", "O", "O", "O", "O", "O", "O", "O", "O", "O", "O", "O", "O", "O", "O", "O", "O", "O", "O", "O", "O", "O", "O", "O"],
  "fractional_positions": [[0.1238, 0.1238, 0.1238], [0.2466, 0.7534, 0.2534], [0.2534, 0.2466, 0.7534], [0.3762, 0.8762, 0.6238], [0.6238, 0.3762, 0.8762], [0.7466, 0.7466, 0.7466], [0.7534, 0.2534, 0.2466], [0.8762, 0.6238, 0.3762], [0.1217, 0.8742, 0.8767], [0.1233, 0.6217, 0.6258], [0.1258, 0.3767, 0.3783], [0.3742, 0.6233, 0.8783], [0.3767, 0.3783, 0.1258], [0.3783, 0.1258, 0.3767], [0.6217, 0.6258, 0.1233], [0.6233, 0.8783, 0.3742], [0.6258, 0.1233, 0.6217], [0.8742, 0.8767, 0.1217], [0.8767, 0.1217, 0.8742], [0.8783, 0.3742, 0.6233], [0.0071, 0.9929, 0.4929], [0.4929, 0.0071, 0.9929], [0.5071, 0.5071, 0.5071], [0.9929, 0.4929, 0.0071], [0.0996, 0.8706, 0.1060], [0.1060, 0.0996, 0.8706], [0.1155, 0.3845, 0.6155], [0.1206, 0.8498, 0.6423], [0.1294, 0.6060, 0.4004], [0.1343, 0.6343, 0.8657], [0.1423, 0.3794, 0.1502], [0.1502, 0.1423, 0.3794], [0.3498, 0.8577, 0.8794], [0.3577, 0.6206, 0.6502], [0.3657, 0.3657, 0.3657], [0.3706, 0.3940, 0.9004], [0.3794, 0.1502, 0.1423], [0.3845, 0.6155, 0.1155], [0.3940, 0.9004, 0.3706], [0.4004, 0.1294, 0.6060], [0.5996, 0.6294, 0.8940], [0.6060, 0.4004, 0.1294], [0.6155, 0.1155, 0.3845], [0.6206, 0.6502, 0.3577], [0.6294, 0.8940, 0.5996], [0.6343, 0.8657, 0.1343], [0.6423, 0.1206, 0.8498], [0.6502, 0.3577, 0.6206], [0.8498, 0.6423, 0.1206], [0.8577, 0.8794, 0.3498], [0.8657, 0.1343, 0.6343], [0.8706, 0.1060, 0.0996], [0.8794, 0.3498, 0.8577], [0.8845, 0.8845, 0.8845], [0.8940, 0.5996, 0.6294], [0.9004, 0.3706, 0.3940]]
}

=====

(2)
{
  "formula": "ScPRu2",
  "functional": "meta-GGA SCAN",
  "state": "PBEsol geometry",
  "e_form_ev_per_atom": -0.15,
  "e_tot_ev_per_cell": -284.6,
  "sg": "R3m, No. 160",
  "crystal_system": "trigonal",
  "lattice_angstrom": [[3.0592, 0.0000, 0.0000], [-1.5296, 2.6493, 0.0000], [0.0000, 0.0000, 22.8143]],
  "species": ["Sc", "Sc", "Sc", "P", "P", "P", "Ru", "Ru", "Ru", "Ru", "Ru", "Ru"],
  "fractional_positions": [[0.0000, 0.0000, 0.0000], [0.3333, 0.6667, 0.6667], [0.6667, 0.3333, 0.3333], [0.0000, 0.0000, 0.2400], [0.3333, 0.6667, 0.9067], [0.6667, 0.3333, 0.5734], [0.0000, 0.0000, 0.5112], [0.0000, 0.0000, 0.7489], [0.3333, 0.6667, 0.1779], [0.3333, 0.6667, 0.4156], [0.6667, 0.3333, 0.0823], [0.6667, 0.3333, 0.8446]]
}

=====

(3)
{
  "formula": "RbIrRu2",
  "functional": "meta-GGA SCAN",
  "state": "PBEsol geometry",
  "e_form_ev_per_atom": 1.62,
  "e_tot_ev_per_cell": -620.0,
  "sg": "Fm-3m, No. 225",
  "crystal_system": "cubic",
  "lattice_angstrom": [[6.4026, 0.0000, 0.0000], [0.0000, 6.4026, 0.0000], [0.0000, 0.0000, 6.4026]],
  "species": ["Rb", "Rb", "Rb", "Rb", "Ir", "Ir", "Ir", "Ir", "Ru", "Ru", "Ru", "Ru", "Ru", "Ru", "Ru", "Ru"],
  "fractional_positions": [[0.0000, 0.0000, 0.0000], [0.0000, 0.5000, 0.5000], [0.5000, 0.0000, 0.5000], [0.5000, 0.5000, 0.0000], [0.0000, 0.0000, 0.5000], [0.0000, 0.5000, 0.0000], [0.5000, 0.0000, 0.0000], [0.5000, 0.5000, 0.5000], [0.2500, 0.2500, 0.2500], [0.2500, 0.2500, 0.7500], [0.2500, 0.7500, 0.2500], [0.2500, 0.7500, 0.7500], [0.7500, 0.2500, 0.2500], [0.7500, 0.2500, 0.7500], [0.7500, 0.7500, 0.2500], [0.7500, 0.7500, 0.7500]]
}